Run P
VASP calculation (PBEsol) on a relaxed structure of KWBr.

Calculated values
Space group: F-43m (216)
Magnetic moment, Bohr magnetons per cell: 5.81

```
KWBr
1.0
-4.323 -1.752 -2.369
-1.312 -5.052 0.355
-4.147 -1.431 2.850
Br K W
1 1 1
Direct
0.250 0.250 0.250
0.000 0.000 0.000
0.500 0.500 0.500
```



Run Q
VASP calculation (PBEsol) on a relaxed structure of KWBr.

Calculated values
Space group: Fmm2 (42)
Magnetic moment, Bohr magnetons per cell: 0.50

```
KWBr
1.0
3.076 0.005 0.000
-1.357 2.760 0.000
-0.859 -1.382 7.664
Br K W
1 1 1
Direct
0.988 0.988 0.976
0.660 0.660 0.320
0.352 0.352 0.704
```



Which structure is the most stable? The one labeled run Q.



Run P
VASP calculation (PBEsol) on a relaxed structure of KYBr2.

Calculated values
Space group: I-42d (122)
Magnetic moment, Bohr magnetons per cell: 3.52

```
KYBr2
1.0
-3.837 -3.454 -6.266
2.615 -3.471 5.572
-4.362 -4.507 5.155
Y K Br
2 2 4
Direct
0.750 0.500 0.750
0.000 0.000 0.000
0.250 0.500 0.250
0.500 0.000 0.500
0.662 0.750 0.375
0.088 0.750 0.875
0.875 0.250 0.662
0.375 0.250 0.088
```



Run Q
VASP calculation (PBEsol) on a relaxed structure of KYBr2.

Calculated values
Space group: R-3m (166)
Magnetic moment, Bohr magnetons per cell: 0.00

```
KYBr2
1.0
3.767 0.000 0.000
1.884 3.262 0.000
1.884 1.087 8.802
Br K Y
2 1 1
Direct
0.256 0.256 0.231
0.744 0.744 0.769
0.500 0.500 0.500
0.000 0.000 0.000
```



Which structure is the most stable? The one labeled run Q.



Run P
VASP calculation (PBEsol) on a relaxed structure of KZnBr2.

Calculated values
Space group: P4/mmm (123)
Magnetic moment, Bohr magnetons per cell: 0.00

```
KZnBr2
1.0
-1.314 2.489 -2.423
-0.758 -3.792 -3.484
-4.809 -0.738 1.850
Br K Zn
2 1 1
Direct
0.000 0.000 0.500
0.000 0.500 0.000
0.500 0.500 0.500
0.500 0.000 0.000
```



Run Q
VASP calculation (PBEsol) on a relaxed structure of KZnBr2.

Calculated values
Space group: I-4m2 (119)
Magnetic moment, Bohr magnetons per cell: 0.00

```
KZnBr2
1.0
4.192 0.000 0.000
0.000 4.192 0.000
-2.096 -2.096 6.580
Br K Zn
2 1 1
Direct
0.000 0.000 0.000
0.750 0.250 0.500
0.500 0.500 0.000
0.250 0.750 0.500
```



Which structure is the most stable? The one labeled run P.